[1]
BaIn2CuAg PBE relaxed; DOS(E_F) = 2.80 states/eV per cell; energy of formation from the pure elements = -0.106 eV/atom; E_tot = -2.976 eV/atom
1.0
5.109 0.000 0.000
0.000 5.109 0.000
0.000 0.000 5.240
Ba In Cu Ag
1 2 1 1
direct
0.000 0.000 0.000
0.000 0.500 0.500
0.500 0.000 0.500
0.500 0.500 0.500
0.500 0.500 0.000



[2]
Zn2HgW PBE relaxed; DOS(E_F) = 1.34 states/eV per cell; energy of formation from the pure elements = 0.302 eV/atom; E_tot = -3.649 eV/atom
1.0
2.793 0.000 0.000
0.000 2.793 0.000
0.000 0.000 8.818
Zn Hg W
2 1 1
direct
0.000 0.000 0.225
0.000 0.000 0.775
0.500 0.500 0.500
0.500 0.500 0.000



[3]
TbDy2Y5Sc PBE relaxed; DOS(E_F) = 31.92 states/eV per cell; energy of formation from the pure elements = 0.163 eV/atom; E_tot = -5.669 eV/atom
1.0
2.767 -10.039 0.000
2.767 10.039 0.000
0.000 0.000 10.324
Tb Dy Y Sc
2 4 10 2
direct
0.092 0.908 0.500
0.908 0.092 0.000
0.384 0.616 0.785
0.390 0.610 0.363
0.610 0.390 0.863
0.616 0.384 0.285
0.018 0.982 0.788
0.129 0.871 0.072
0.200 0.800 0.752
0.229 0.771 0.381
0.483 0.517 0.065
0.517 0.483 0.565
0.771 0.229 0.881
0.800 0.200 0.252
0.871 0.129 0.572
0.982 0.018 0.288
0.308 0.692 0.067
0.692 0.308 0.567



[4]
SmUS2 PBE relaxed; energy above the most stable polymorph in this dataset = 358 meV/atom; DOS(E_F) = 12.96 states/eV per cell; E_tot = -7.382 eV/atom
1.0
3.560 0.000 0.000
0.000 5.181 0.000
0.000 0.000 9.963
Sm U S
2 2 4
direct
0.250 0.250 0.121
0.750 0.750 0.879
0.250 0.750 0.392
0.750 0.250 0.608
0.250 0.250 0.398
0.250 0.250 0.836
0.750 0.750 0.164
0.750 0.750 0.602



[5]
Pr2DyThN4 PBE relaxed; DOS(E_F) = 1.80 states/eV per cell; E_tot = -8.358 eV/atom
1.0
6.264 0.000 0.000
0.000 3.636 0.000
-2.080 0.000 5.949
Pr Dy Th N
2 1 1 4
direct
0.000 0.000 0.000
0.500 0.500 0.000
0.000 0.500 0.500
0.500 0.000 0.500
0.246 0.000 0.734
0.255 0.500 0.267
0.745 0.500 0.733
0.754 0.000 0.266



[6]
AcTlGa2 PBE relaxed; energy above the most stable polymorph in this dataset = 203 meV/atom; DOS(E_F) = 3.16 states/eV per cell; energy of formation from the pure elements = -0.200 eV/atom; E_tot = -3.332 eV/atom
1.0
3.884 0.000 0.000
0.000 3.884 0.000
0.000 0.000 7.117
Ac Tl Ga
1 1 2
direct
0.000 0.000 0.000
0.000 0.000 0.500
0.500 0.500 0.297
0.500 0.500 0.703



Respective total moment values: 0.00, 0.00, 0.00, 2.66, 0.00, 0.01 μB per formula unit.